Record 1
# GGA-PBE KNi2Cl, relaxed
# Raw formation energy ... 0.36 eV per atom
# Energy above the most stable polymorph in this dataset ... 0.3833 eV per atom
# Spin magnetization ... 1.955 μB per formula unit
data_KNi2Cl
_space_group_name_H-M_alt 'I 4/m m m'
_space_group_IT_number 139
_space_group_name_Hall '-I 4 2'
_cell_length_a 3.8122
_cell_length_b 3.8122
_cell_length_c 14.0756
_cell_angle_alpha 90.00
_cell_angle_beta 90.00
_cell_angle_gamma 90.00
loop_
_atom_site_label
_atom_site_type_symbol
_atom_site_fract_x
_atom_site_fract_y
_atom_site_fract_z
K1 K 0.0000 0.0000 0.0000
Ni1 Ni 0.0000 0.5000 0.2500
Cl1 Cl 0.0000 0.0000 0.5000



Record 2
# GGA-PBE VCo2Sb, relaxed
# Raw formation energy ... 0.39 eV per atom
# Spin magnetization ... 0.000 μB per formula unit
data_VCo2Sb
_space_group_name_H-M_alt 'I -4 2 d'
_space_group_IT_number 122
_space_group_name_Hall 'I -4 2bw'
_cell_length_a 3.9422
_cell_length_b 3.9422
_cell_length_c 15.8811
_cell_angle_alpha 90.00
_cell_angle_beta 90.00
_cell_angle_gamma 90.00
loop_
_atom_site_label
_atom_site_type_symbol
_atom_site_fract_x
_atom_site_fract_y
_atom_site_fract_z
V1 V 0.0000 0.0000 0.0000
Co1 Co 0.2170 0.2500 0.1250
Sb1 Sb 0.0000 0.0000 0.5000



Record 3
# GGA-PBE PmEr4Al, relaxed
# ΔH_f (0 K) ... -0.118 eV per atom
# Spin magnetization ... 0.000 μB per formula unit
data_PmEr4Al
_space_group_name_H-M_alt 'P 4/m m m'
_space_group_IT_number 123
_space_group_name_Hall '-P 4 2'
_cell_length_a 3.5322
_cell_length_b 3.5322
_cell_length_c 13.8533
_cell_angle_alpha 90.00
_cell_angle_beta 90.00
_cell_angle_gamma 90.00
loop_
_atom_site_label
_atom_site_type_symbol
_atom_site_fract_x
_atom_site_fract_y
_atom_site_fract_z
Pm1 Pm 0.0000 0.0000 0.0000
Er1 Er 0.0000 0.0000 0.3650
Er2 Er 0.5000 0.5000 0.1825
Al1 Al 0.5000 0.5000 0.5000



Number 1: uncorrected energy -26.15 eV/cell. Number 2: uncorrected energy -103.53 eV/cell. Number 3: uncorrected energy -27.45 eV/cell.